[1]
Compound: Tb7Tm4Mg
Source: Alexandria via LeMat-Bulk
Functional: GGA-PBE
Structure: relaxed

Summary:
DFT formation energy: 0.27 eV per formula unit
Spin magnetization: 0.000 μB/f.u.
DOS at the Fermi energy: 16.650 states/eV per cell
Raw total energy: -51.62 eV/f.u.
Offset from the most stable computed form: 0.000 eV per atom
Crystal system: trigonal

a b c (Å): 3.528 3.528 34.186
angles (deg): 90.00 90.00 120.00
Fractional coordinates of all 12 atoms:
Tb (0.000, 0.000, 0.000)
Tb (0.000, 0.000, 0.253)
Tb (0.000, 0.000, 0.747)
Tb (0.333, 0.667, 0.168)
Tb (0.333, 0.667, 0.420)
Tb (0.667, 0.333, 0.580)
Tb (0.667, 0.333, 0.832)
Tm (0.333, 0.667, 0.663)
Tm (0.333, 0.667, 0.916)
Tm (0.667, 0.333, 0.084)
Tm (0.667, 0.333, 0.337)
Mg (0.000, 0.000, 0.500)



[2]
Compound: MgVCr2Ni
Source: Alexandria via LeMat-Bulk
Functional: GGA-PBE
Structure: relaxed

Summary:
DFT formation energy: 4.47 eV per formula unit
Spin magnetization: 4.536 μB/f.u.
DOS at the Fermi energy: 3.620 states/eV per cell
Raw total energy: -31.27 eV/f.u.
Offset from the most stable computed form: 0.000 eV per atom
Crystal system: tetragonal

a b c (Å): 4.369 4.369 4.458
angles (deg): 90.00 90.00 90.00
Fractional coordinates of all 5 atoms:
Mg (0.000, 0.000, 0.000)
V (0.500, 0.500, 0.500)
Cr (0.000, 0.500, 0.500)
Cr (0.500, 0.000, 0.500)
Ni (0.500, 0.500, 0.000)



[3]
Compound: KCoSbCl6
Source: Alexandria via LeMat-Bulk
Functional: GGA-PBE
Structure: relaxed

Summary:
Energy relative to the elements, uncorrected: -9.0 eV per formula unit
Spin magnetization: 3.000 μB/f.u.
DOS at the Fermi energy: 0.984 states/eV per cell
Raw total energy: -32.43 eV/f.u.
Crystal system: monoclinic

a b c (Å): 6.714 6.714 6.955
angles (deg): 90.05 90.05 120.07
Fractional coordinates of all 9 atoms:
K (0.000, 0.000, 0.000)
Co (0.333, 0.667, 0.500)
Sb (0.667, 0.333, 0.500)
Cl (0.025, 0.643, 0.293)
Cl (0.026, 0.383, 0.708)
Cl (0.357, 0.975, 0.707)
Cl (0.363, 0.385, 0.291)
Cl (0.615, 0.637, 0.709)
Cl (0.617, 0.974, 0.292)



[4]
Compound: KRb3Cl6
Source: Alexandria via LeMat-Bulk
Functional: GGA-PBE
Structure: relaxed

Summary:
Energy relative to the elements, uncorrected: -12.2 eV per formula unit
Spin magnetization: 2.000 μB/f.u.
DOS at the Fermi energy: 34.834 states/eV per cell
Raw total energy: -27.31 eV/f.u.
Crystal system: cubic

a b c (Å): 8.555 8.555 8.555
angles (deg): 60.00 60.00 60.00
Fractional coordinates of all 10 atoms:
K (0.000, 0.000, 0.000)
Rb (0.250, 0.250, 0.250)
Rb (0.500, 0.500, 0.500)
Rb (0.750, 0.750, 0.750)
Cl (0.245, 0.245, 0.755)
Cl (0.245, 0.755, 0.245)
Cl (0.245, 0.755, 0.755)
Cl (0.755, 0.245, 0.245)
Cl (0.755, 0.245, 0.755)
Cl (0.755, 0.755, 0.245)